[1]
# BaSr2Hg (PBE-GGA, optimized geometry)
data_BaSr2Hg
_chemical_formula_sum 'Ba1 Sr2 Hg1'
_symmetry_space_group_name_H-M 'P m m m'
_symmetry_Int_Tables_number 47
_cell_length_a 4.902
_cell_length_b 5.880
_cell_length_c 6.006
_cell_angle_alpha 90.00
_cell_angle_beta 90.00
_cell_angle_gamma 90.00
loop_
_symmetry_equiv_pos_as_xyz
'x,y,z'
'-x,-y,-z'
'-x,-y,z'
'x,y,-z'
'x,-y,-z'
'-x,y,z'
'-x,y,-z'
'x,-y,z'
loop_
_atom_site_label
_atom_site_fract_x
_atom_site_fract_y
_atom_site_fract_z
Ba1 0.000 0.000 0.000
Sr1 0.000 0.500 0.500
Sr2 0.500 0.000 0.500
Hg1 0.500 0.500 0.000
# **E_tot**: -1.509 eV/atom
# **D(E_F)**: 1.623 states/eV per atom
# **ΔE_f**: -112.4 meV/atom
# **M_tot**: 0.00 μB/f.u.

=====

[2]
# BaSrHg (PBE-GGA, optimized geometry)
data_BaSrHg
_chemical_formula_sum 'Ba4 Sr4 Hg4'
_symmetry_space_group_name_H-M 'C 1 2/m 1'
_symmetry_Int_Tables_number 12
_cell_length_a 15.421
_cell_length_b 4.139
_cell_length_c 8.274
_cell_angle_alpha 90.00
_cell_angle_beta 105.34
_cell_angle_gamma 90.00
loop_
_symmetry_equiv_pos_as_xyz
'x,y,z'
'-x,-y,-z'
'-x,y,-z'
'x,-y,z'
'x+1/2,y+1/2,z'
'-x+1/2,-y+1/2,-z'
'-x+1/2,y+1/2,-z'
'x+1/2,-y+1/2,z'
loop_
_atom_site_label
_atom_site_fract_x
_atom_site_fract_y
_atom_site_fract_z
Ba1 0.137 0.000 0.315
Sr1 0.129 0.000 0.816
Hg1 0.000 0.500 0.000
Hg2 0.000 0.500 0.500
# **Relative energy among the computed polymorphs**: 6 meV/atom
# **E_tot**: -1.669 eV/atom
# **D(E_F)**: 1.041 states/eV per atom
# **ΔE_f**: -367.0 meV/atom
# **M_tot**: 0.00 μB/f.u.

=====

[3]
# Ba6Sr2Hg (PBE-GGA, optimized geometry)
data_Ba6Sr2Hg
_chemical_formula_sum 'Ba12 Sr4 Hg2'
_symmetry_space_group_name_H-M 'I m m m'
_symmetry_Int_Tables_number 71
_symmetry_space_group_name_Hall '-I 2 2'
_cell_length_a 7.045
_cell_length_b 11.588
_cell_length_c 12.171
_cell_angle_alpha 90.00
_cell_angle_beta 90.00
_cell_angle_gamma 90.00
loop_
_atom_site_label
_atom_site_fract_x
_atom_site_fract_y
_atom_site_fract_z
Ba1 0.000 0.167 0.000
Ba2 0.000 0.191 0.341
Sr1 0.000 0.500 0.183
Hg1 0.000 0.500 0.500
# **Relative energy among the computed polymorphs**: 111 meV/atom
# **E_tot**: -1.656 eV/atom
# **D(E_F)**: 1.285 states/eV per atom
# **ΔE_f**: 32.9 meV/atom
# **M_tot**: 0.00 μB/f.u.

=====

What is the ΔE_f in the second record?
-367.0 meV/atom